# 1
ZnGa2Mo: optimized geometry, PBE-GGA.

The structure belongs to space group R-3m (No. 166, hexagonal axes); the cell edges are 2.9142, 2.9142 and 27.8175 Å and the angles 90.00°, 90.00° and 120.00°. The asymmetric unit holds Zn at (0.0000, 0.0000, 0.0000), Ga at (0.0000, 0.0000, 0.0894) and Mo at (0.0000, 0.0000, 0.5000).

For the density of states at the Fermi level, the calculation gives 0.414 states/eV per atom. The crystal system is trigonal. The total magnetization comes out at 0.0000 μB per atom. The value obtained for the formation energy is 0.095 eV/atom.


# 2
ZnGa3Mo: optimized geometry, PBE-GGA.

The structure belongs to space group Pm-3m (No. 221); the cell edges are 4.720, 4.720 and 4.720 Å and the angles 90.00°, 90.00° and 90.00°. The asymmetric unit holds Zn at (0.000, 0.000, 0.000), Ga at (0.000, 0.000, 0.500) and Mo at (0.500, 0.500, 0.500).

For the density of states at the Fermi level, the calculation gives 0.512 states/eV per atom. The crystal system is cubic. The total magnetization comes out at 0.6870 μB per atom. The distance to the lowest polymorph of the same formula is 897 meV/atom. The value obtained for the formation energy is 0.953 eV/atom.


# 3
ZnGa3Mo: optimized geometry, PBE-GGA.

The structure belongs to space group Pm-3m (No. 221); the cell edges are 4.950, 4.950 and 4.950 Å and the angles 90.00°, 90.00° and 90.00°. The asymmetric unit holds Zn at (0.000, 0.000, 0.000), Ga at (0.000, 0.500, 0.500) and Mo at (0.500, 0.500, 0.500).

For the density of states at the Fermi level, the calculation gives 0.895 states/eV per atom. The crystal system is cubic. The total magnetization comes out at 0.1683 μB per atom. The distance to the lowest polymorph of the same formula is 490 meV/atom. The value obtained for the formation energy is 0.546 eV/atom.


# 4
ZnGa2Mo: optimized geometry, PBE-GGA.

The structure belongs to space group R3m (No. 160, hexagonal axes); the cell edges are 3.9177, 3.9177 and 15.6828 Å and the angles 90.00°, 90.00° and 120.00°. The asymmetric unit holds Zn at (0.0000, 0.0000, 0.0000), Ga at (0.0000, 0.0000, 0.2375), Ga at (0.0000, 0.0000, 0.4081) and Mo at (0.0000, 0.0000, 0.8180).

For the density of states at the Fermi level, the calculation gives 0.397 states/eV per atom. The crystal system is trigonal. The total magnetization comes out at 0.0000 μB per atom. The value obtained for the formation energy is 0.262 eV/atom.


# 5
ZnGa3Mo: optimized geometry, PBE-GGA.

The structure belongs to space group Pmma (No. 51); the cell edges are 5.530, 7.112 and 4.631 Å and the angles 90.00°, 90.00° and 90.00°. The asymmetric unit holds Zn at (0.250, 0.000, 0.063), Ga at (0.250, 0.184, 0.556), Ga at (0.250, 0.500, 0.005) and Mo at (0.000, 0.500, 0.500).

For the density of states at the Fermi level, the calculation gives 0.406 states/eV per atom. The crystal system is orthorhombic. The total magnetization comes out at 0.0000 μB per atom. The distance to the lowest polymorph of the same formula is 0 meV/atom. The value obtained for the formation energy is 0.056 eV/atom.


# 6
ZnGa6Mo: optimized geometry, PBE-GGA.

The structure belongs to space group Fmmm (No. 69); the cell edges are 6.737, 6.752 and 11.821 Å and the angles 90.00°, 90.00° and 90.00°. The asymmetric unit holds Zn at (0.000, 0.000, 0.000), Ga at (0.000, 0.000, 0.269), Ga at (0.250, 0.250, 0.120) and Mo at (0.000, 0.000, 0.500).

For the density of states at the Fermi level, the calculation gives 0.384 states/eV per atom. The crystal system is orthorhombic. The total magnetization comes out at 0.0000 μB per atom. The value obtained for the formation energy is 0.065 eV/atom.